Ta2Ge: optimized geometry, PBE.

Results
total magnetic moment = 0.04 Bohr magnetons per cell
final energy = -9.766 eV per atom
crystal system = orthorhombic

Lattice parameters (Å, degrees): 6.835 3.541 8.488 90.00 90.00 90.00
Atoms (fractional coordinates):
Ta (0.139, 0.750, 0.563)
Ta (0.455, 0.250, 0.669)
Ta (0.639, 0.750, 0.937)
Ta (0.861, 0.250, 0.437)
Ta (0.361, 0.250, 0.063)
Ta (0.545, 0.750, 0.331)
Ta (0.955, 0.250, 0.831)
Ta (0.045, 0.750, 0.169)
Ge (0.249, 0.750, 0.859)
Ge (0.749, 0.750, 0.641)
Ge (0.751, 0.250, 0.141)
Ge (0.251, 0.250, 0.359)